[1]
First-principles (GGA-PBE) data for an optimized crystal structure of IrPdN3, as listed in Alexandria. Values from VASP.

```
&SYSTEM
  ibrav = 0, nat = 5, ntyp = 3
/
ATOMIC_SPECIES
Ir 192.22 Ir.upf
Pd 106.42 Pd.upf
N 14.01 N.upf
CELL_PARAMETERS angstrom
3.867 0.000 0.000
0.000 3.867 0.000
0.000 0.000 3.867
ATOMIC_POSITIONS angstrom
Ir 0.000 0.000 0.000
Pd 1.933 1.933 1.933
N 0.000 1.933 1.933
N 1.933 0.000 1.933
N 1.933 1.933 0.000
```

Calculated values
Spin magnetization (μB/f.u.): 0.0
Uncorrected formation energy (eV per formula unit): 12.6
Electronic total energy (eV/atom): -5.29
Density (g/cm3): 9.8
Space group: Pm-3m
Crystal system: cubic

***

[2]
First-principles (GGA-PBE) data for an optimized crystal structure of IrPd2N, as listed in Alexandria. Values from VASP.

```
&SYSTEM
  ibrav = 0, nat = 8, ntyp = 3
/
ATOMIC_SPECIES
Ir 192.22 Ir.upf
Pd 106.42 Pd.upf
N 14.01 N.upf
CELL_PARAMETERS angstrom
-2.435 2.435 5.688
2.435 -2.435 5.688
2.435 2.435 -5.688
ATOMIC_POSITIONS angstrom
Ir 0.000 0.000 0.000
Ir 0.000 2.435 2.844
Pd 1.218 -0.678 4.266
Pd 1.757 1.218 1.422
Pd 1.218 3.113 -1.422
Pd 0.678 1.218 7.110
N 2.435 0.000 2.844
N 0.000 0.000 5.688
```

Calculated values
Spin magnetization (μB/f.u.): 0.0
Uncorrected formation energy (eV per formula unit): 4.8
Electronic total energy (eV/atom): -5.69
Density (g/cm3): 10.3
Space group: I-42d
Crystal system: tetragonal

***

> uncorrected formation energy of number 2 (IrPd2N)?

4.8 eV per formula unit